Record 1
! PBE-GGA Y2ZnHg, relaxed; values from VASP
&SYSTEM
  ibrav = 0, nat = 4, ntyp = 3
/
ATOMIC_SPECIES
Zn 65.41 Zn.upf
Hg 200.59 Hg.upf
Y 88.91 Y.upf
CELL_PARAMETERS angstrom
-3.311 -3.688 0.203
-0.361 -4.341 2.372
-3.490 1.549 5.211
ATOMIC_POSITIONS crystal
Zn 0.750 0.750 0.750
Hg 0.250 0.250 0.250
Y 0.497 0.497 0.510
Y 0.003 0.003 0.990
! DOS at the Fermi energy	4.13	states/eV per cell
! M_tot	0.00	μB per cell
! DFT formation energy	-0.261	eV per atom
! space-group type	C2/m (12)


Record 2
! PBE-GGA YZn2Hg2, relaxed; values from VASP
&SYSTEM
  ibrav = 0, nat = 10, ntyp = 3
/
ATOMIC_SPECIES
Hg 200.59 Hg.upf
Zn 65.41 Zn.upf
Y 88.91 Y.upf
CELL_PARAMETERS angstrom
7.699 0.000 0.000
0.000 7.699 0.000
0.000 0.000 3.682
ATOMIC_POSITIONS crystal
Hg 0.313 0.187 0.500
Hg 0.813 0.313 0.500
Hg 0.187 0.687 0.500
Hg 0.687 0.813 0.500
Zn 0.116 0.384 0.000
Zn 0.884 0.616 0.000
Zn 0.384 0.884 0.000
Zn 0.616 0.116 0.000
Y 0.500 0.500 0.000
Y 0.000 0.000 0.000
! DOS at the Fermi energy	5.43	states/eV per cell
! M_tot	0.00	μB per cell
! DFT formation energy	-0.122	eV per atom
! space-group type	P4/mbm (127)


Record 3
! PBE-GGA YZnHg2, relaxed; values from VASP
&SYSTEM
  ibrav = 0, nat = 4, ntyp = 3
/
ATOMIC_SPECIES
Y 88.91 Y.upf
Hg 200.59 Hg.upf
Zn 65.41 Zn.upf
CELL_PARAMETERS angstrom
-0.672 -1.105 4.022
3.321 -0.996 0.282
3.314 5.326 2.017
ATOMIC_POSITIONS crystal
Y 0.500 0.250 0.250
Hg 0.000 0.598 0.515
Hg 0.000 0.902 0.985
Zn 0.500 0.750 0.750
! DOS at the Fermi energy	2.33	states/eV per cell
! M_tot	0.00	μB per cell
! DFT formation energy	-0.225	eV per atom
! space-group type	P2/m (10)


Record 4
! PBE-GGA YZn2Hg2, relaxed; values from VASP
&SYSTEM
  ibrav = 0, nat = 10, ntyp = 3
/
ATOMIC_SPECIES
Hg 200.59 Hg.upf
Zn 65.41 Zn.upf
Y 88.91 Y.upf
CELL_PARAMETERS angstrom
-5.348 5.413 -2.278
1.761 -1.461 -7.606
-2.491 -2.502 -0.096
ATOMIC_POSITIONS crystal
Hg 0.131 0.369 0.000
Hg 0.369 0.869 0.000
Hg 0.631 0.131 0.000
Hg 0.869 0.631 0.000
Zn 0.327 0.173 0.500
Zn 0.827 0.327 0.500
Zn 0.673 0.827 0.500
Zn 0.173 0.673 0.500
Y 0.500 0.500 0.000
Y 0.000 0.000 0.000
! DOS at the Fermi energy	7.18	states/eV per cell
! M_tot	0.00	μB per cell
! DFT formation energy	-0.060	eV per atom
! space-group type	P4/mbm (127)


Record 5
! PBE-GGA YZnHg2, relaxed; values from VASP
&SYSTEM
  ibrav = 0, nat = 4, ntyp = 3
/
ATOMIC_SPECIES
Hg 200.59 Hg.upf
Zn 65.41 Zn.upf
Y 88.91 Y.upf
CELL_PARAMETERS angstrom
3.538 0.021 0.000
-0.041 3.538 0.000
0.000 0.000 7.187
ATOMIC_POSITIONS crystal
Hg 0.000 0.000 0.525
Hg 0.000 0.000 0.975
Zn 0.500 0.500 0.750
Y 0.500 0.500 0.250
! DOS at the Fermi energy	2.68	states/eV per cell
! M_tot	0.20	μB per cell
! DFT formation energy	-0.222	eV per atom
! space-group type	Cmmm (65)


Record 6
! PBE-GGA Y3Zn4Hg2, relaxed; values from VASP
&SYSTEM
  ibrav = 0, nat = 9, ntyp = 3
/
ATOMIC_SPECIES
Zn 65.41 Zn.upf
Y 88.91 Y.upf
Hg 200.59 Hg.upf
CELL_PARAMETERS angstrom
4.628 0.000 0.000
-2.314 4.997 -1.840
0.000 -0.686 8.696
ATOMIC_POSITIONS crystal
Zn 0.272 0.544 0.949
Zn 0.052 0.103 0.392
Zn 0.948 0.897 0.608
Zn 0.728 0.456 0.051
Y 0.334 0.669 0.330
Y 0.000 0.000 0.000
Y 0.666 0.331 0.670
Hg 0.387 0.774 0.723
Hg 0.613 0.226 0.277
! DOS at the Fermi energy	5.49	states/eV per cell
! M_tot	0.00	μB per cell
! DFT formation energy	-0.415	eV per atom
! space-group type	C2/m (12)